1.
! Y2BiH2 PBE relaxed; values from VASP
! - Magnetic moment: 0.0 μB per formula unit
! - Raw total energy: -5.38 eV/atom
&SYSTEM
  ibrav = 0, nat = 10, ntyp = 3
/
ATOMIC_SPECIES
Y 88.91 Y.upf
Bi 208.98 Bi.upf
H 1.01 H.upf
CELL_PARAMETERS angstrom
0.0000 5.0532 5.5947
3.2121 0.0000 5.5947
3.2121 5.0532 0.0000
ATOMIC_POSITIONS crystal
Y 0.0549 0.6951 0.0549
Y 0.3049 0.9451 0.3049
Y 0.6951 0.0549 0.6951
Y 0.9451 0.3049 0.9451
Bi 0.3750 0.3750 0.3750
Bi 0.6250 0.6250 0.6250
H 0.0034 0.0034 0.2466
H 0.2466 0.2466 0.0034
H 0.7534 0.7534 0.9966
H 0.9966 0.9966 0.7534

---

2.
! SrLiSn2Pd PBE relaxed; values from VASP
! - ΔE_f: -2.9 eV per formula unit
! - Magnetic moment: 0.0 μB per formula unit
! - Raw total energy: -3.94 eV/atom
&SYSTEM
  ibrav = 0, nat = 10, ntyp = 4
/
ATOMIC_SPECIES
Sr 87.62 Sr.upf
Li 6.94 Li.upf
Sn 118.71 Sn.upf
Pd 106.42 Pd.upf
CELL_PARAMETERS angstrom
4.6644 0.0000 0.0000
0.0000 4.6644 0.0000
0.0000 0.0000 11.2259
ATOMIC_POSITIONS crystal
Sr 0.0000 0.0000 0.0000
Sr 0.5000 0.5000 0.5000
Li 0.0000 0.5000 0.7500
Li 0.5000 0.0000 0.2500
Sn 0.0000 0.0000 0.3714
Sn 0.0000 0.0000 0.6286
Sn 0.5000 0.5000 0.1286
Sn 0.5000 0.5000 0.8714
Pd 0.0000 0.5000 0.2500
Pd 0.5000 0.0000 0.7500

---

3.
! CaSm3S PBE relaxed; values from VASP
! - Magnetic moment: 0.0 μB per formula unit
! - ΔE_f (raw): -3.417 eV/f.u.
! - Raw total energy: -4.74 eV/atom
&SYSTEM
  ibrav = 0, nat = 5, ntyp = 3
/
ATOMIC_SPECIES
Ca 40.08 Ca.upf
Sm 150.36 Sm.upf
S 32.06 S.upf
CELL_PARAMETERS angstrom
5.4796 0.0000 0.0000
0.0000 5.4796 0.0000
0.0000 0.0000 5.4796
ATOMIC_POSITIONS crystal
Ca 0.0000 0.0000 0.0000
Sm 0.0000 0.5000 0.5000
Sm 0.5000 0.0000 0.5000
Sm 0.5000 0.5000 0.0000
S 0.5000 0.5000 0.5000

---

4.
! CsZn3C PBE relaxed; values from VASP
! - ΔE_f: 9.9 eV per formula unit
! - Magnetic moment: 2.9 μB per formula unit
! - Raw total energy: -0.81 eV/atom
&SYSTEM
  ibrav = 0, nat = 5, ntyp = 3
/
ATOMIC_SPECIES
Cs 132.91 Cs.upf
Zn 65.41 Zn.upf
C 12.01 C.upf
CELL_PARAMETERS angstrom
7.2996 0.0000 0.0000
0.0000 7.2996 0.0000
0.0000 0.0000 7.2996
ATOMIC_POSITIONS crystal
Cs 0.0000 0.0000 0.0000
Zn 0.0000 0.0000 0.5000
Zn 0.0000 0.5000 0.0000
Zn 0.5000 0.0000 0.0000
C 0.5000 0.5000 0.5000

---

5.
! HfTeAuI2 PBE relaxed; values from VASP
! - Magnetic moment: 0.0 μB per formula unit
! - ΔE_f (raw): 0.297 eV/f.u.
! - Raw total energy: -3.84 eV/atom
&SYSTEM
  ibrav = 0, nat = 5, ntyp = 4
/
ATOMIC_SPECIES
Hf 178.49 Hf.upf
Te 127.60 Te.upf
Au 196.97 Au.upf
I 126.90 I.upf
CELL_PARAMETERS angstrom
5.6328 0.0000 0.0000
0.0000 5.6328 0.0000
0.0000 0.0000 5.6016
ATOMIC_POSITIONS crystal
Hf 0.0000 0.0000 0.0000
Te 0.0000 0.0000 0.5000
Au 0.5000 0.5000 0.5000
I 0.0000 0.5000 0.0000
I 0.5000 0.0000 0.0000

---

6.
! CaLa2HAu PBE relaxed; values from VASP
! - Magnetic moment: 0.0 μB per formula unit
! - Raw total energy: -4.03 eV/atom
&SYSTEM
  ibrav = 0, nat = 5, ntyp = 4
/
ATOMIC_SPECIES
Ca 40.08 Ca.upf
La 138.91 La.upf
H 1.01 H.upf
Au 196.97 Au.upf
CELL_PARAMETERS angstrom
4.8934 0.0000 0.0000
0.0000 4.8934 0.0000
0.0000 0.0000 5.1271
ATOMIC_POSITIONS crystal
Ca 0.0000 0.0000 0.0000
La 0.0000 0.5000 0.5000
La 0.5000 0.0000 0.5000
H 0.0000 0.0000 0.5000
Au 0.5000 0.5000 0.0000

---

7.
! K2NiI2Cl4 PBE relaxed; values from VASP
! - Magnetic moment: 0.0 μB per formula unit
! - ΔE_f (raw): -9.074 eV/f.u.
! - Raw total energy: -3.06 eV/atom
&SYSTEM
  ibrav = 0, nat = 9, ntyp = 4
/
ATOMIC_SPECIES
K 39.10 K.upf
Ni 58.69 Ni.upf
I 126.90 I.upf
Cl 35.45 Cl.upf
CELL_PARAMETERS angstrom
-3.9366 3.9366 4.4032
3.9366 -3.9366 4.4032
3.9366 3.9366 -4.4032
ATOMIC_POSITIONS crystal
K 0.2500 0.7500 0.5000
K 0.7500 0.2500 0.5000
Ni 0.0000 0.0000 0.0000
I 0.3364 0.3364 0.0000
I 0.6636 0.6636 0.0000
Cl 0.1974 0.1974 0.3948
Cl 0.1974 0.8026 0.0000
Cl 0.8026 0.1974 0.0000
Cl 0.8026 0.8026 0.6052

---

8.
! Er3ScIn2 PBE relaxed; values from VASP
! - ΔE_f: 0.6 eV per formula unit
! - Magnetic moment: 0.0 μB per formula unit
! - Raw total energy: -4.14 eV/atom
&SYSTEM
  ibrav = 0, nat = 12, ntyp = 3
/
ATOMIC_SPECIES
Er 167.26 Er.upf
Sc 44.96 Sc.upf
In 114.82 In.upf
CELL_PARAMETERS angstrom
3.3674 0.0000 0.0000
0.0000 5.4628 0.0000
0.0000 0.0000 18.3802
ATOMIC_POSITIONS crystal
Er 0.0000 0.0000 0.0000
Er 0.0000 0.5000 0.1852
Er 0.0000 0.5000 0.8148
Er 0.5000 0.0000 0.3148
Er 0.5000 0.0000 0.6852
Er 0.5000 0.5000 0.5000
Sc 0.0000 0.5000 0.0000
Sc 0.5000 0.0000 0.5000
In 0.0000 0.5000 0.3541
In 0.0000 0.5000 0.6459
In 0.5000 0.0000 0.1459
In 0.5000 0.0000 0.8541